# 1
Density functional theory data (PBEsol) for a relaxed structure of TiAlCr2P.

Properties
**E_form**: 1.26 eV/atom
**N(E_F)**: 0.903 states/eV per atom
**Space group**: No. 123

Lattice parameters (Å, degrees): 4.411 4.411 4.690 90.00 90.00 90.00
Element x y z (fractional)
1 Ti 0.000 0.000 0.000
2 Al 0.000 0.000 0.500
3 Cr 0.000 0.500 0.500
4 Cr 0.500 0.000 0.500
5 P 0.500 0.500 0.000

---

# 2
Density functional theory data (PBEsol) for a relaxed structure of YMgCu.

Properties
**E_form**: -0.17 eV/atom
**N(E_F)**: 0.664 states/eV per atom
**Space group**: No. 14

Lattice parameters (Å, degrees): 6.676 5.419 7.365 90.00 109.03 90.00
Element x y z (fractional)
1 Y 0.159 0.113 0.365
2 Y 0.159 0.387 0.865
3 Y 0.841 0.613 0.135
4 Y 0.841 0.887 0.635
5 Mg 0.424 0.614 0.300
6 Mg 0.424 0.886 0.800
7 Mg 0.576 0.114 0.200
8 Mg 0.576 0.386 0.700
9 Cu 0.170 0.609 0.516
10 Cu 0.170 0.891 0.016
11 Cu 0.830 0.109 0.984
12 Cu 0.830 0.391 0.484

---

Number 1: total magnetization 1.226 μB/atom, VASP energy -32.40 eV per cell. Number 2: total magnetization 0.000 μB/atom, VASP energy -53.57 eV per cell.